[1]
{"formula": "Pm3SmEr3", "functional": "PBE", "state": "optimized geometry", "cell": [[4.339, 2.505, 7.320], [-4.339, 2.505, 7.320], [0.000, -5.011, 7.320]], "species": ["Pm", "Pm", "Pm", "Pm", "Pm", "Pm", "Sm", "Sm", "Er", "Er", "Er", "Er", "Er", "Er"], "fractional_positions": [[0.066, 0.219, 0.570], [0.219, 0.570, 0.066], [0.430, 0.934, 0.781], [0.570, 0.066, 0.219], [0.781, 0.430, 0.934], [0.934, 0.781, 0.430], [0.155, 0.155, 0.155], [0.845, 0.845, 0.845], [0.215, 0.437, 0.673], [0.327, 0.785, 0.563], [0.437, 0.673, 0.215], [0.563, 0.327, 0.785], [0.673, 0.215, 0.437], [0.785, 0.563, 0.327]], "de_polymorph_ev_per_atom": 0.000, "spacegroup": "R-3", "delta_e_f_mev_per_atom": 200}

=====

[2]
{"formula": "Te3W2S", "functional": "PBE", "state": "optimized geometry", "cell": [[3.454, 0.000, 0.000], [-1.727, 2.992, 0.000], [0.000, 0.000, 35.891]], "species": ["Te", "Te", "Te", "Te", "Te", "Te", "W", "W", "W", "W", "S", "S"], "fractional_positions": [[0.000, 0.000, 0.000], [0.000, 0.000, 0.104], [0.000, 0.000, 0.424], [0.000, 0.000, 0.528], [0.333, 0.667, 0.211], [0.333, 0.667, 0.315], [0.000, 0.000, 0.263], [0.000, 0.000, 0.850], [0.333, 0.667, 0.052], [0.333, 0.667, 0.476], [0.333, 0.667, 0.809], [0.333, 0.667, 0.892]], "spacegroup": "P3m1"}

=====

[3]
{"formula": "SrLaTl2", "functional": "PBE", "state": "optimized geometry", "cell": [[5.095, -2.007, 0.000], [5.095, 2.007, 0.000], [-1.564, 0.000, 7.147]], "species": ["Sr", "La", "Tl", "Tl"], "fractional_positions": [[0.000, 0.000, 0.000], [0.500, 0.500, 0.500], [0.250, 0.250, 0.718], [0.750, 0.750, 0.282]], "spacegroup": "C2/m", "delta_e_f_mev_per_atom": -268}

=====

[4]
{"formula": "LaTl2Co", "functional": "PBE", "state": "optimized geometry", "cell": [[0.000, 3.666, 3.666], [3.666, 0.000, 3.666], [3.666, 3.666, 0.000]], "species": ["La", "Tl", "Tl", "Co"], "fractional_positions": [[0.000, 0.000, 0.000], [0.500, 0.500, 0.500], [0.750, 0.750, 0.750], [0.250, 0.250, 0.250]], "spacegroup": "F-43m", "delta_e_f_mev_per_atom": 162}

=====

[5]
{"formula": "Hg2As2Pb", "functional": "PBE", "state": "optimized geometry", "cell": [[8.629, 0.000, 0.000], [0.000, 8.629, 0.000], [0.000, 0.000, 3.301]], "species": ["Hg", "Hg", "Hg", "Hg", "As", "As", "As", "As", "Pb", "Pb"], "fractional_positions": [[0.122, 0.378, 0.000], [0.378, 0.878, 0.000], [0.622, 0.122, 0.000], [0.878, 0.622, 0.000], [0.187, 0.687, 0.500], [0.313, 0.187, 0.500], [0.687, 0.813, 0.500], [0.813, 0.313, 0.500], [0.000, 0.000, 0.500], [0.500, 0.500, 0.500]], "de_polymorph_ev_per_atom": 0.095, "spacegroup": "P4/mbm", "delta_e_f_mev_per_atom": 235}

=====

[6]
{"formula": "TaCuNi2", "functional": "PBE", "state": "optimized geometry", "cell": [[2.719, 0.000, 0.000], [0.000, 3.726, 0.000], [-0.008, 0.000, 5.109]], "species": ["Ta", "Cu", "Ni", "Ni"], "fractional_positions": [[0.000, 0.000, 0.000], [0.499, 0.500, 0.719], [0.500, 0.500, 0.245], [0.998, 0.000, 0.499]], "spacegroup": "Pm", "delta_e_f_mev_per_atom": -61}

=====

[7]
{"formula": "ScCdHgPb", "functional": "PBE", "state": "optimized geometry", "cell": [[4.296, 0.000, 0.000], [0.000, 4.495, 0.000], [0.000, 0.000, 4.853]], "species": ["Sc", "Cd", "Hg", "Pb"], "fractional_positions": [[0.000, 0.000, 0.000], [0.000, 0.500, 0.500], [0.500, 0.000, 0.500], [0.500, 0.500, 0.000]], "spacegroup": "Pmmm", "delta_e_f_mev_per_atom": -234}

=====

[8]
{"formula": "ZnSbPt2", "functional": "PBE", "state": "optimized geometry", "cell": [[4.554, -1.822, 0.000], [4.554, 1.822, 0.000], [-1.273, 0.000, 4.180]], "species": ["Zn", "Sb", "Pt", "Pt"], "fractional_positions": [[0.000, 0.000, 0.000], [0.767, 0.767, 0.364], [0.265, 0.265, 0.881], [0.505, 0.505, 0.522]], "spacegroup": "Cm"}

=====

[9]
{"formula": "SiIrIN2", "functional": "PBE", "state": "optimized geometry", "cell": [[3.808, 0.000, 0.000], [0.000, 3.808, 0.000], [0.000, 0.000, 8.130]], "species": ["Si", "Ir", "I", "N", "N"], "fractional_positions": [[0.000, 0.000, 0.000], [0.500, 0.500, 0.500], [0.500, 0.500, 0.000], [0.000, 0.500, 0.500], [0.500, 0.000, 0.500]], "de_polymorph_ev_per_atom": 0.006, "spacegroup": "P4/mmm"}

=====

[10]
{"formula": "MnVZn3", "functional": "PBE", "state": "optimized geometry", "cell": [[4.591, 0.000, 0.000], [0.000, 4.591, 0.000], [0.000, 0.000, 4.591]], "species": ["Mn", "V", "Zn", "Zn", "Zn"], "fractional_positions": [[0.000, 0.000, 0.000], [0.500, 0.500, 0.500], [0.000, 0.000, 0.500], [0.000, 0.500, 0.000], [0.500, 0.000, 0.000]], "de_polymorph_ev_per_atom": 0.000, "spacegroup": "Pm-3m", "delta_e_f_mev_per_atom": 949}

=====

[11]
{"formula": "Pr5Sm8Dy", "functional": "PBE", "state": "optimized geometry", "cell": [[-4.897, 4.897, 5.136], [4.897, -4.897, 5.136], [4.897, 4.897, -5.136]], "species": ["Pr", "Pr", "Pr", "Pr", "Pr", "Sm", "Sm", "Sm", "Sm", "Sm", "Sm", "Sm", "Sm", "Dy"], "fractional_positions": [[0.000, 0.000, 0.000], [0.315, 0.211, 0.681], [0.366, 0.685, 0.896], [0.530, 0.634, 0.319], [0.789, 0.470, 0.104], [0.025, 0.769, 0.603], [0.064, 0.329, 0.902], [0.166, 0.422, 0.397], [0.231, 0.834, 0.256], [0.428, 0.163, 0.098], [0.578, 0.975, 0.744], [0.671, 0.572, 0.735], [0.837, 0.936, 0.265], [0.750, 0.250, 0.500]], "spacegroup": "I-4", "delta_e_f_mev_per_atom": 235}

=====

[12]
{"formula": "Tl3OsF", "functional": "PBE", "state": "optimized geometry", "cell": [[5.268, 0.000, 0.000], [0.000, 5.268, 0.000], [0.000, 0.000, 5.268]], "species": ["Tl", "Tl", "Tl", "Os", "F"], "fractional_positions": [[0.000, 0.000, 0.500], [0.000, 0.500, 0.000], [0.500, 0.000, 0.000], [0.000, 0.000, 0.000], [0.500, 0.500, 0.500]], "de_polymorph_ev_per_atom": 0.000, "spacegroup": "Pm-3m"}

=====

[13]
{"formula": "SiBi", "functional": "PBE", "state": "optimized geometry", "cell": [[7.962, 0.000, 0.000], [0.000, 7.962, 0.000], [0.000, 0.000, 7.962]], "species": ["Si", "Si", "Si", "Si", "Si", "Si", "Bi", "Bi", "Bi", "Bi", "Bi", "Bi"], "fractional_positions": [[0.000, 0.250, 0.500], [0.000, 0.750, 0.500], [0.250, 0.500, 0.000], [0.500, 0.000, 0.250], [0.500, 0.000, 0.750], [0.750, 0.500, 0.000], [0.000, 0.500, 0.250], [0.000, 0.500, 0.750], [0.250, 0.000, 0.500], [0.500, 0.250, 0.000], [0.500, 0.750, 0.000], [0.750, 0.000, 0.500]], "spacegroup": "Pm-3n"}

=====

[14]
{"formula": "Ba2ScCu3F12", "functional": "PBE", "state": "optimized geometry", "cell": [[3.086, 1.782, 8.359], [-3.086, 1.782, 8.359], [0.000, -3.563, 8.359]], "species": ["Ba", "Ba", "Sc", "Cu", "Cu", "Cu", "F", "F", "F", "F", "F", "F", "F", "F", "F", "F", "F", "F"], "fractional_positions": [[0.116, 0.116, 0.116], [0.884, 0.884, 0.884], [0.500, 0.500, 0.500], [0.000, 0.500, 0.500], [0.500, 0.000, 0.500], [0.500, 0.500, 0.000], [0.134, 0.621, 0.621], [0.142, 0.142, 0.605], [0.142, 0.605, 0.142], [0.379, 0.379, 0.866], [0.379, 0.866, 0.379], [0.395, 0.858, 0.858], [0.605, 0.142, 0.142], [0.621, 0.134, 0.621], [0.621, 0.621, 0.134], [0.858, 0.395, 0.858], [0.858, 0.858, 0.395], [0.866, 0.379, 0.379]], "spacegroup": "R-3m"}

=====

[15]
{"formula": "Sr2La4Co", "functional": "PBE", "state": "optimized geometry", "cell": [[-2.722, 2.722, 10.014], [2.722, -2.722, 10.014], [2.722, 2.722, -10.014]], "species": ["Sr", "Sr", "La", "La", "La", "La", "Co"], "fractional_positions": [[0.171, 0.171, 0.000], [0.829, 0.829, 0.000], [0.000, 0.500, 0.500], [0.365, 0.365, 0.000], [0.500, 0.000, 0.500], [0.635, 0.635, 0.000], [0.500, 0.500, 0.000]], "spacegroup": "I4/mmm", "delta_e_f_mev_per_atom": 136}

=====

[16]
{"formula": "Na3CaRe", "functional": "PBE", "state": "optimized geometry", "cell": [[5.681, 0.000, 0.000], [0.000, 5.681, 0.000], [0.000, 0.000, 5.681]], "species": ["Na", "Na", "Na", "Ca", "Re"], "fractional_positions": [[0.000, 0.000, 0.500], [0.000, 0.500, 0.000], [0.500, 0.000, 0.000], [0.500, 0.500, 0.500], [0.000, 0.000, 0.000]], "de_polymorph_ev_per_atom": 0.000, "spacegroup": "Pm-3m", "delta_e_f_mev_per_atom": 1329}

=====

[17]
{"formula": "Y3Tm8Th", "functional": "PBE", "state": "optimized geometry", "cell": [[-5.389, 5.596, 3.106], [5.389, -5.596, 3.106], [5.389, 5.596, -3.106]], "species": ["Y", "Y", "Y", "Tm", "Tm", "Tm", "Tm", "Tm", "Tm", "Tm", "Tm", "Th"], "fractional_positions": [[0.000, 0.000, 0.000], [0.415, 0.664, 0.750], [0.914, 0.664, 0.250], [0.408, 0.324, 0.415], [0.408, 0.994, 0.085], [0.495, 0.324, 0.830], [0.495, 0.665, 0.170], [0.909, 0.324, 0.915], [0.909, 0.994, 0.585], [0.991, 0.325, 0.333], [0.991, 0.658, 0.667], [0.499, 0.999, 0.500]], "spacegroup": "Imm2", "delta_e_f_mev_per_atom": 10}

=====

[18]
{"formula": "Ce2LuTa", "functional": "PBE", "state": "optimized geometry", "cell": [[1.556, 0.898, 11.851], [-1.556, 0.898, 11.851], [0.000, -1.797, 11.851]], "species": ["Ce", "Ce", "Lu", "Ta"], "fractional_positions": [[0.080, 0.080, 0.080], [0.920, 0.920, 0.920], [0.500, 0.500, 0.500], [0.000, 0.000, 0.000]], "spacegroup": "R-3m", "delta_e_f_mev_per_atom": 471}

=====

[19]
{"formula": "KZr2Pb", "functional": "PBE", "state": "optimized geometry", "cell": [[-2.348, 2.348, 4.678], [2.348, -2.348, 4.678], [2.348, 2.348, -4.678]], "species": ["K", "Zr", "Zr", "Pb"], "fractional_positions": [[0.000, 0.000, 0.000], [0.250, 0.750, 0.500], [0.750, 0.250, 0.500], [0.500, 0.500, 0.000]], "de_polymorph_ev_per_atom": 0.477, "spacegroup": "I4/mmm", "delta_e_f_mev_per_atom": 580}

=====

[20]
{"formula": "Si2PRh2", "functional": "PBE", "state": "optimized geometry", "cell": [[7.188, 0.000, 0.000], [0.000, 7.188, 0.000], [0.000, 0.000, 2.746]], "species": ["Si", "Si", "Si", "Si", "P", "P", "Rh", "Rh", "Rh", "Rh"], "fractional_positions": [[0.153, 0.347, 0.000], [0.347, 0.847, 0.000], [0.653, 0.153, 0.000], [0.847, 0.653, 0.000], [0.000, 0.000, 0.000], [0.500, 0.500, 0.000], [0.140, 0.640, 0.500], [0.360, 0.140, 0.500], [0.640, 0.860, 0.500], [0.860, 0.360, 0.500]], "de_polymorph_ev_per_atom": 0.148, "spacegroup": "P4/mbm"}

=====

Number 1: total DFT energy (no corrections) -62.52 eV for the cell shown. Number 2: total DFT energy (no corrections) -81.37 eV for the cell shown. Number 3: total DFT energy (no corrections) -12.41 eV for the cell shown. Number 4: total DFT energy (no corrections) -16.12 eV for the cell shown. Number 5: total DFT energy (no corrections) -24.87 eV for the cell shown. Number 6: total DFT energy (no corrections) -27.76 eV for the cell shown. Number 7: total DFT energy (no corrections) -12.19 eV for the cell shown. Number 8: total DFT energy (no corrections) -18.73 eV for the cell shown. Number 9: total DFT energy (no corrections) -26.72 eV for the cell shown. Number 10: total DFT energy (no corrections) -17.36 eV for the cell shown. Number 11: total DFT energy (no corrections) -62.96 eV for the cell shown. Number 12: total DFT energy (no corrections) -20.46 eV for the cell shown. Number 13: total DFT energy (no corrections) -48.11 eV for the cell shown. Number 14: total DFT energy (no corrections) -93.95 eV for the cell shown. Number 15: total DFT energy (no corrections) -29.23 eV for the cell shown. Number 16: total DFT energy (no corrections) -11.76 eV for the cell shown. Number 17: total DFT energy (no corrections) -62.46 eV for the cell shown. Number 18: total DFT energy (no corrections) -26.36 eV for the cell shown. Number 19: total DFT energy (no corrections) -19.58 eV for the cell shown. Number 20: total DFT energy (no corrections) -64.10 eV for the cell shown.